VASP calculation (GGA-PBE) on a relaxed structure of Ca3InN3.

Cell and atoms, written as POSCAR:
```
Ca3InN3
1.0
-7.4052 1.0539 0.2124
3.4950 -0.6796 -6.5823
-0.7113 -5.0266 0.1413
Ca N In
6 6 2
direct
0.9337 0.6608 0.2500
0.2729 0.9336 0.7500
0.7271 0.0664 0.2500
0.3392 0.2729 0.2500
0.6608 0.7271 0.7500
0.0663 0.3392 0.7500
0.3000 0.9327 0.2500
0.9327 0.6327 0.7500
0.0673 0.3673 0.2500
0.3673 0.2999 0.7500
0.6327 0.7001 0.2500
0.7000 0.0673 0.7500
0.3333 0.6667 0.2500
0.6667 0.3333 0.7500
```



VASP calculation (GGA-PBE) on a relaxed structure of Ca2InN2.

Cell and atoms, written as POSCAR:
```
Ca2InN2
1.0
-3.7068 -2.9975 1.4392
5.4001 -2.8784 -0.7012
-0.3908 3.3874 6.0484
Ca N In
4 4 2
direct
0.0172 0.0343 0.7417
0.9828 0.9657 0.2583
0.3341 0.6682 0.4250
0.6659 0.3318 0.5750
0.4916 0.9832 0.2250
0.5084 0.0168 0.7750
0.1732 0.3464 0.5958
0.8268 0.6536 0.4042
0.6550 0.3099 0.1045
0.3450 0.6901 0.8955
```



VASP calculation (GGA-PBE) on a relaxed structure of CaIn3N.

Cell and atoms, written as POSCAR:
```
CaIn3N
1.0
4.9058 0.0000 0.0000
0.0000 4.9058 0.0000
0.0000 0.0000 4.9058
In Ca N
3 1 1
direct
0.0000 0.0000 0.5000
0.0000 0.5000 0.0000
0.5000 0.0000 0.0000
0.5000 0.5000 0.5000
0.0000 0.0000 0.0000
```



VASP calculation (GGA-PBE) on a relaxed structure of Ca3In2N.

Cell and atoms, written as POSCAR:
```
Ca3In2N
1.0
7.3652 0.0000 0.0000
-3.6826 6.3785 0.0000
0.0000 0.0000 6.7037
Ca In N
6 4 2
direct
0.1399 0.8601 0.2500
0.8601 0.1399 0.7500
0.7203 0.8601 0.2500
0.2797 0.1399 0.7500
0.8601 0.7203 0.7500
0.1399 0.2797 0.2500
0.3333 0.6667 0.5492
0.3333 0.6667 0.9508
0.6667 0.3333 0.0492
0.6667 0.3333 0.4508
0.0000 0.0000 0.0000
0.0000 0.0000 0.5000
```



The records above yield total moment values of 0.00; 0.00; 0.00; 0.00 Bohr magnetons per cell, respectively.
The records above yield energy relative to the elements, uncorrected values of -13.07; -11.94; 7.10; -11.52 kcal/mol of atoms, respectively.
The records above yield raw total energy values of -5.38; -5.20; -3.40; -3.80 eV per atom, respectively.